No. 1
Density functional theory data (PBE-GGA) for an optimized crystal structure of CuAgTe.

The structure belongs to space group F-43m (No. 216); the cell edges are 6.440, 6.440 and 6.440 Å and the angles 90.00°, 90.00° and 90.00°. Symmetry generates all atoms from Cu at (0.000, 0.000, 0.000), Ag at (0.250, 0.250, 0.250) and Te at (0.000, 0.000, 0.500).

As for the uncorrected formation energy: 17.5 kJ/mol of atoms. The energy above the most stable polymorph in this dataset comes out at 213 meV per atom.

=====

No. 2
Density functional theory data (PBE-GGA) for an optimized crystal structure of CuAgTe2.

The structure belongs to space group I4/mmm (No. 139); the cell edges are 4.720, 4.720 and 8.097 Å and the angles 90.00°, 90.00° and 90.00°. Symmetry generates all atoms from Cu at (0.000, 0.000, 0.000), Ag at (0.000, 0.000, 0.500) and Te at (0.000, 0.500, 0.250).

As for the uncorrected formation energy: 33.7 kJ/mol of atoms.

=====

No. 3
Density functional theory data (PBE-GGA) for an optimized crystal structure of CuAgTe2.

The structure belongs to space group C2/m (No. 12); the cell edges are 6.130, 7.976 and 4.893 Å and the angles 90.00°, 125.25° and 90.00°. Symmetry generates all atoms from Cu at (0.000, 0.000, 0.000), Ag at (0.000, 0.500, 0.000) and Te at (0.250, 0.250, 0.500).

As for the uncorrected formation energy: 12.6 kJ/mol of atoms.

=====

No. 4
Density functional theory data (PBE-GGA) for an optimized crystal structure of Cu2AgTe2.

The structure belongs to space group I4/mmm (No. 139); the cell edges are 5.192, 5.192 and 8.113 Å and the angles 90.00°, 90.00° and 90.00°. Symmetry generates all atoms from Cu at (0.000, 0.000, 0.164), Ag at (0.000, 0.000, 0.500) and Te at (0.000, 0.500, 0.250).

As for the uncorrected formation energy: 22.8 kJ/mol of atoms. The energy above the most stable polymorph in this dataset comes out at 216 meV per atom.

=====

No. 5
Density functional theory data (PBE-GGA) for an optimized crystal structure of CuAg4Te4.

The structure belongs to space group I-42m (No. 121); the cell edges are 6.432, 6.432 and 12.628 Å and the angles 90.00°, 90.00° and 90.00°. Symmetry generates all atoms from Cu at (0.000, 0.000, 0.000), Ag at (0.000, 0.000, 0.245), Ag at (0.000, 0.500, 0.000) and Te at (0.250, 0.250, 0.123).

As for the uncorrected formation energy: 3.3 kJ/mol of atoms.

=====

No. 6
Density functional theory data (PBE-GGA) for an optimized crystal structure of Cu2AgTe.

The structure belongs to space group P4mm (No. 99); the cell edges are 3.344, 3.344 and 6.384 Å and the angles 90.00°, 90.00° and 90.00°. Symmetry generates all atoms from Cu at (0.000, 0.000, 0.000), Cu at (0.500, 0.500, 0.179), Ag at (0.500, 0.500, 0.770) and Te at (0.000, 0.000, 0.428).

As for the uncorrected formation energy: 20.6 kJ/mol of atoms. The energy above the most stable polymorph in this dataset comes out at 61 meV per atom.